1.
{
  "formula": "Tm3As2Pt2Rh5",
  "functional": "GGA-PBE",
  "state": "optimized geometry",
  "lattice_angstrom": [[-2.001, 2.001, 13.214], [2.001, -2.001, 13.214], [2.001, 2.001, -13.214]],
  "species": ["Tm", "Tm", "Tm", "As", "As", "Pt", "Pt", "Rh", "Rh", "Rh", "Rh", "Rh"],
  "fractional_positions": [[0.000, 0.000, 0.000], [0.170, 0.170, 0.000], [0.830, 0.830, 0.000], [0.370, 0.370, 0.000], [0.630, 0.630, 0.000], [0.277, 0.277, 0.000], [0.723, 0.723, 0.000], [0.079, 0.579, 0.500], [0.421, 0.921, 0.500], [0.500, 0.500, 0.000], [0.579, 0.079, 0.500], [0.921, 0.421, 0.500]],
  "spacegroup": "I4/mmm (139)",
  "n_ef_per_ev_cell": 7.2,
  "dft_energy_ev_per_cell": -81.92,
  "formation_enthalpy_0k_kj_per_mol_atoms": -83
}

---

2.
{
  "formula": "UAs2PtRh2",
  "functional": "GGA-PBE",
  "state": "optimized geometry",
  "lattice_angstrom": [[3.727, 0.000, 0.000], [0.000, 8.827, 0.000], [0.000, 0.000, 6.418]],
  "species": ["U", "U", "As", "As", "As", "As", "Pt", "Pt", "Rh", "Rh", "Rh", "Rh"],
  "fractional_positions": [[0.000, 0.058, 0.000], [0.000, 0.942, 0.500], [0.000, 0.398, 0.783], [0.000, 0.602, 0.283], [0.500, 0.186, 0.298], [0.500, 0.814, 0.798], [0.500, 0.177, 0.701], [0.500, 0.823, 0.201], [0.000, 0.347, 0.410], [0.000, 0.653, 0.910], [0.500, 0.392, 0.039], [0.500, 0.608, 0.539]],
  "spacegroup": "Pmc2_1 (26)",
  "n_ef_per_ev_cell": 13.7,
  "dft_energy_ev_per_cell": -88.57,
  "formation_enthalpy_0k_kj_per_mol_atoms": -48
}

---

3.
{
  "formula": "Y2As3PtRh4",
  "functional": "GGA-PBE",
  "state": "optimized geometry",
  "lattice_angstrom": [[4.034, 0.000, 0.000], [0.000, 4.034, 0.000], [0.000, 0.000, 11.095]],
  "species": ["Y", "Y", "As", "As", "As", "Pt", "Rh", "Rh", "Rh", "Rh"],
  "fractional_positions": [[0.000, 0.500, 0.236], [0.500, 0.000, 0.764], [0.000, 0.000, 0.000], [0.000, 0.500, 0.629], [0.500, 0.000, 0.371], [0.500, 0.500, 0.000], [0.000, 0.000, 0.500], [0.000, 0.500, 0.839], [0.500, 0.000, 0.161], [0.500, 0.500, 0.500]],
  "spacegroup": "P-4m2 (115)",
  "n_ef_per_ev_cell": 6.0,
  "dft_energy_ev_per_cell": -70.38,
  "formation_enthalpy_0k_kj_per_mol_atoms": -78
}

---

4.
{
  "formula": "Y3As2PtRh9",
  "functional": "GGA-PBE",
  "state": "optimized geometry",
  "lattice_angstrom": [[5.527, 0.000, 0.000], [-2.763, 4.786, 0.000], [0.000, 0.000, 11.298]],
  "species": ["Y", "Y", "Y", "As", "As", "Pt", "Rh", "Rh", "Rh", "Rh", "Rh", "Rh", "Rh", "Rh", "Rh"],
  "fractional_positions": [[0.000, 0.000, 0.000], [0.333, 0.667, 0.573], [0.667, 0.333, 0.427], [0.333, 0.667, 0.161], [0.667, 0.333, 0.839], [0.000, 0.000, 0.500], [0.000, 0.500, 0.000], [0.162, 0.324, 0.315], [0.162, 0.838, 0.315], [0.324, 0.162, 0.685], [0.500, 0.000, 0.000], [0.500, 0.500, 0.000], [0.676, 0.838, 0.315], [0.838, 0.162, 0.685], [0.838, 0.676, 0.685]],
  "spacegroup": "P-3m1 (164)",
  "n_ef_per_ev_cell": 10.6,
  "dft_energy_ev_per_cell": -106.09,
  "formation_enthalpy_0k_kj_per_mol_atoms": -33
}

---

5.
{
  "formula": "AsRu2Pt",
  "functional": "GGA-PBE",
  "state": "optimized geometry",
  "lattice_angstrom": [[1.391, -2.381, 0.000], [1.391, 2.381, 0.000], [0.000, 0.000, 9.396]],
  "species": ["As", "Ru", "Ru", "Pt"],
  "fractional_positions": [[0.000, 0.000, 0.000], [0.000, 0.000, 0.472], [0.500, 0.500, 0.238], [0.500, 0.500, 0.726]],
  "spacegroup": "Cmm2 (35)",
  "n_ef_per_ev_cell": 5.2,
  "dft_energy_ev_per_cell": -27.78,
  "formation_enthalpy_0k_kj_per_mol_atoms": 35
}

---

6.
{
  "formula": "AsRuPt",
  "functional": "GGA-PBE",
  "state": "optimized geometry",
  "lattice_angstrom": [[0.000, 2.903, 2.903], [2.903, 0.000, 2.903], [2.903, 2.903, 0.000]],
  "species": ["As", "Ru", "Pt"],
  "fractional_positions": [[0.000, 0.000, 0.000], [0.750, 0.750, 0.750], [0.250, 0.250, 0.250]],
  "spacegroup": "F-43m (216)",
  "n_ef_per_ev_cell": 1.3,
  "dft_energy_ev_per_cell": -20.46,
  "de_polymorph_mev_per_atom": 0.0,
  "formation_enthalpy_0k_kj_per_mol_atoms": -16
}

---

Question: Number 1 is which compound?
Answer: Tm3As2Pt2Rh5